(1)
Here is NaCeO2 after structural relaxation from Alexandria via LeMat-Bulk. Energies are from PBE.

The value obtained for the energy relative to the elements, uncorrected is -2.586 eV per atom.

The space group is R-3m (No. 166, hexagonal axes) and the conventional cell measures 3.5770, 3.5770 and 16.9258 Å, with angles of 90.00, 90.00 and 120.00 degrees. The asymmetric unit holds Na at (0.0000, 0.0000, 0.0000), Ce at (0.0000, 0.0000, 0.5000) and O at (0.0000, 0.0000, 0.2394).

(2)
Here is Tb2ScPd after structural relaxation from Alexandria via LeMat-Bulk. Energies are from PBE.

As for the distance to the lowest polymorph of the same formula: 0.149 eV/atom. For the calculated formation energy, the calculation gives -245 meV/atom.

The space group is R3m (No. 160, hexagonal axes) and the conventional cell measures 3.5731, 3.5731 and 28.6125 Å, with angles of 90.00, 90.00 and 120.00 degrees. The asymmetric unit holds Tb at (0.0000, 0.0000, 0.0000), Tb at (0.0000, 0.0000, 0.1910), Sc at (0.0000, 0.0000, 0.7620) and Pd at (0.0000, 0.0000, 0.5953).

(3)
Here is NaHPd2Rh after structural relaxation from Alexandria via LeMat-Bulk. Energies are from PBE.

As for the distance to the lowest polymorph of the same formula: 0.116 eV/atom.

The space group is P4/mmm (No. 123) and the conventional cell measures 3.943, 3.943 and 4.199 Å, with angles of 90.00, 90.00 and 90.00 degrees. The asymmetric unit holds Na at (0.000, 0.000, 0.000), H at (0.000, 0.000, 0.500), Pd at (0.000, 0.500, 0.500) and Rh at (0.500, 0.500, 0.000).

Number 1: magnetic moment 1.0 μB per formula unit. Number 2: magnetic moment 0.4 μB per formula unit. Number 3: magnetic moment 0.0 μB per formula unit.